Computed, not measured: a PBEsol-optimized structure of SrCa2Pb2 at the SCAN level of DFT.

Lattice parameters (Å, degrees): 3.6726 9.3975 9.3975 90.00 90.00 90.00
With the nearest neighbours (Å) after each atom.
Positions (direct):
1 Ca 0.5000 0.3697 0.1303  6 Pb 3.24-3.38, 1 Ca 3.46
2 Pb 0.0000 0.8308 0.6692  6 Ca 3.24-3.38, 2 Sr 3.49
3 Ca 0.5000 0.6303 0.8697  6 Pb 3.24-3.38, 1 Ca 3.46
4 Pb 0.0000 0.1692 0.3308  6 Ca 3.24-3.38, 2 Sr 3.49
5 Ca 0.5000 0.8697 0.3697  6 Pb 3.24-3.38, 1 Ca 3.46
6 Pb 0.0000 0.3308 0.8308  6 Ca 3.24-3.38, 2 Sr 3.49
7 Pb 0.0000 0.6692 0.1692  6 Ca 3.24-3.38, 2 Sr 3.49
8 Sr 0.0000 0.5000 0.5000  4 Pb 3.49, 2 Sr 3.67
9 Sr 0.0000 0.0000 0.0000  4 Pb 3.49, 2 Sr 3.67
10 Ca 0.5000 0.1303 0.6303  6 Pb 3.24-3.38, 1 Ca 3.46

Energy relative to the elements ... -0.665 eV per atom